The following is a PBE calculation of a geometry-optimized CaEr2Hg structure, from Alexandria.

Summary:
magnetization = 0.093 μB/atom
energy of formation = -0.092 eV/atom

Unit cell a=3.6683 b=3.6683 c=10.9748 alpha=80.38 beta=80.38 gamma=60.00
Closest atoms and distances in Å follow each position.
Element x y z (fractional)
Ca: 0.5002 0.5002 0.4993  6 Ca 3.67, 6 Er 3.73-3.74
Er: 0.0714 0.0714 0.7857  3 Hg 3.14
Er: 0.2619 0.2619 0.2143  3 Hg 3.13
Hg: 0.6665 0.6665 0.0006  6 Er 3.13-3.14

---

The following is a PBE calculation of a geometry-optimized CaEr3Hg12 structure, from Alexandria.

Summary:
magnetization = 0.000 μB/atom
energy of formation = -0.309 eV/atom

Unit cell a=4.5306 b=4.5306 c=19.0612 alpha=90.00 beta=90.00 gamma=90.00
Closest atoms and distances in Å follow each position.
Element x y z (fractional)
Ca: 0.0000 0.0000 0.0000  12 Hg 3.20-3.34
Er: 0.0000 0.0000 0.2501  12 Hg 3.20-3.30
Er: 0.0000 0.0000 0.5000  12 Hg 3.20-3.27
Er: 0.0000 0.0000 0.7499  12 Hg 3.20-3.30
Hg: 0.5000 0.5000 0.0000  4 Ca 3.20, 8 Hg 3.34
Hg: 0.5000 0.5000 0.2529  4 Er 3.20, 8 Hg 3.27
Hg: 0.5000 0.5000 0.5000  4 Er 3.20, 8 Hg 3.27
Hg: 0.5000 0.5000 0.7471  4 Er 3.20, 8 Hg 3.27
Hg: 0.5000 0.0000 0.1289  8 Hg 3.20-3.34, 2 Er 3.24, 2 Ca 3.34
Hg: 0.5000 0.0000 0.3763  8 Hg 3.20-3.27, 4 Er 3.27-3.30
Hg: 0.5000 0.0000 0.6237  8 Hg 3.20-3.27, 4 Er 3.27-3.30
Hg: 0.5000 0.0000 0.8711  8 Hg 3.20-3.34, 2 Er 3.24, 2 Ca 3.34
Hg: 0.0000 0.5000 0.1289  8 Hg 3.20-3.34, 2 Er 3.24, 2 Ca 3.34
Hg: 0.0000 0.5000 0.3763  8 Hg 3.20-3.27, 4 Er 3.27-3.30
Hg: 0.0000 0.5000 0.6237  8 Hg 3.20-3.27, 4 Er 3.27-3.30
Hg: 0.0000 0.5000 0.8711  8 Hg 3.20-3.34, 2 Er 3.24, 2 Ca 3.34